[1]
Computed, not measured: LiLa2MnN at its PBEsol-relaxed geometry at the SCAN level of DFT.

* theoretical density: 5.976 g/cm³
* ΔE_f (raw): -549 meV/atom
* total magnetic moment: 1.92 Bohr magnetons per cell
* crystal system: tetragonal

a = 5.2062 Å, b = 5.2062 Å, c = 3.6263 Å
α = 90.00°, β = 90.00°, γ = 90.00°
Last column: nearest neighbours and their distance in Å.
Space group P4/mmm (No. 123)
Symmetry-distinct sites (fractional):
Li 0.0000 0.0000 0.0000 [1 per cell]  8 La 3.17
La 0.0000 0.5000 0.5000 [2 per cell]  2 N 2.60
Mn 0.5000 0.5000 0.0000 [1 per cell]  2 N 1.81
N 0.5000 0.5000 0.5000 [1 per cell]  2 Mn 1.81

***

[2]
Computed, not measured: LiLa4MnO8 at its PBEsol-relaxed geometry at the SCAN level of DFT.

* theoretical density: 6.869 g/cm³
* ΔE_f (raw): -3342 meV/atom
* total magnetic moment: 8.00 Bohr magnetons per cell
* crystal system: orthorhombic

a = 5.3011 Å, b = 12.8275 Å, c = 5.3006 Å
α = 90.00°, β = 90.00°, γ = 90.00°
Last column: nearest neighbours and their distance in Å.
Space group Cmmm (No. 65)
Symmetry-distinct sites (fractional):
Li 0.0000 0.0000 0.0000 [2 per cell]  4 O 1.90
La 0.0000 0.1367 0.5000 [4 per cell]  5 O 2.35-2.56
La 0.0000 0.3618 0.0000 [4 per cell]  5 O 2.32-2.58
Mn 0.0000 0.5000 0.5000 [2 per cell]  4 O 1.85
O 0.0000 0.1806 0.0000 [4 per cell]  1 Li 2.32, 1 La 2.32
O 0.0000 0.3196 0.5000 [4 per cell]  1 Mn 2.31, 1 La 2.35
O 0.2473 0.5000 0.2535 [8 per cell]  1 Mn 1.85, 1 Li 1.90

***

[3]
Computed, not measured: LiLa4MnO8 at its PBEsol-relaxed geometry at the SCAN level of DFT.

* theoretical density: 6.869 g/cm³
* ΔE_f (raw): -3342 meV/atom
* total magnetic moment: 16.00 Bohr magnetons per cell
* crystal system: tetragonal

a = 5.3008 Å, b = 5.3008 Å, c = 25.6552 Å
α = 90.00°, β = 90.00°, γ = 90.00°
Last column: nearest neighbours and their distance in Å.
Space group I4_1/amd (No. 141, origin choice 2)
Symmetry-distinct sites (fractional):
Li 0.0000 0.2500 0.3750 [4 per cell]  4 O 1.90
La 0.0000 0.2500 0.0569 [8 per cell]  5 O 2.35-2.56
La 0.0000 0.2500 0.1943 [8 per cell]  5 O 2.32-2.58
Mn 0.0000 0.2500 0.8750 [4 per cell]  4 O 1.85
O 0.0000 0.2500 0.2848 [8 per cell]  1 Li 2.31, 1 La 2.32
O 0.0000 0.2500 0.7847 [8 per cell]  1 Mn 2.32, 1 La 2.35
O 0.2469 0.0031 0.8750 [16 per cell]  1 Mn 1.85, 1 Li 1.90

***

[4]
Computed, not measured: SrLiLa3MnO8 at its PBEsol-relaxed geometry at the SCAN level of DFT.

* theoretical density: 6.482 g/cm³
* ΔE_f (raw): -3241 meV/atom
* total magnetic moment: 5.94 Bohr magnetons per cell
* excess energy over the best structure of this formula in the dataset: 5.1 meV per atom
* crystal system: orthorhombic

a = 5.3401 Å, b = 5.3251 Å, c = 12.5079 Å
α = 90.00°, β = 90.00°, γ = 90.00°
Last column: nearest neighbours and their distance in Å.
Space group Amm2 (No. 38)
Symmetry-distinct sites (fractional):
Sr 0.0000 0.0000 0.0000 [2 per cell]  9 O 2.51-2.71
Li 0.5000 0.0000 0.8681 [2 per cell]  5 O 1.93-2.13
La 0.0000 0.0000 0.7247 [2 per cell]  9 O 2.50-2.74
La 0.5000 0.0000 0.2195 [2 per cell]  1 O 2.27
La 0.5000 0.0000 0.4949 [2 per cell]  1 O 2.27
Mn 0.0000 0.0000 0.3592 [2 per cell]  6 O 1.84-2.02
O 0.0000 0.0000 0.2009 [2 per cell]  1 Mn 1.98
O 0.0000 0.0000 0.5209 [2 per cell]  1 Mn 2.02
O 0.2440 0.2448 0.3557 [8 per cell]  1 Mn 1.84, 1 Li 1.93
O 0.5000 0.0000 0.0383 [2 per cell]  1 Li 2.13, 1 La 2.27
O 0.5000 0.0000 0.6767 [2 per cell]  1 La 2.27, 1 Li 2.39

***

[5]
Computed, not measured: SrLiLa3MnO8 at its PBEsol-relaxed geometry at the SCAN level of DFT.

* theoretical density: 6.469 g/cm³
* ΔE_f (raw): -3246 meV/atom
* total magnetic moment: 11.88 Bohr magnetons per cell
* excess energy over the best structure of this formula in the dataset: 0.0 meV per atom
* crystal system: orthorhombic

a = 5.3269 Å, b = 12.5169 Å, c = 10.6906 Å
α = 90.00°, β = 90.00°, γ = 90.00°
Last column: nearest neighbours and their distance in Å.
Space group Cmcm (No. 63)
Symmetry-distinct sites (fractional):
Sr 0.0000 0.1408 0.2500 [4 per cell]  7 O 2.53-2.68
Li 0.0000 0.0000 0.0000 [4 per cell]  4 O 1.93
La 0.0000 0.1350 0.7500 [4 per cell]  9 O 2.54-2.68
La 0.0000 0.3629 0.5014 [8 per cell]  3 O 2.28-2.54
Mn 0.0000 0.4973 0.7500 [4 per cell]  6 O 1.84-2.00
O 0.0000 0.1812 0.5165 [8 per cell]  1 Li 2.28, 1 La 2.28
O 0.0000 0.3378 0.7500 [4 per cell]  1 Mn 2.00
O 0.0000 0.3430 0.2500 [4 per cell]  1 Mn 2.00
O 0.2443 0.4993 0.6277 [16 per cell]  1 Mn 1.84, 1 Li 1.93

***

[6]
Computed, not measured: LiLaMo at its PBEsol-relaxed geometry at the SCAN level of DFT.

* theoretical density: 6.907 g/cm³
* total magnetic moment: 0.00 Bohr magnetons per cell
* excess energy over the best structure of this formula in the dataset: 31.3 meV per atom
* crystal system: orthorhombic
* energy of formation: 0.6546 eV per atom

a = 2.8104 Å, b = 4.5393 Å, c = 9.1124 Å
α = 90.00°, β = 90.00°, γ = 90.00°
Last column: nearest neighbours and their distance in Å.
Space group Imm2 (No. 44)
Symmetry-distinct sites (fractional):
Li 0.0000 0.0000 0.0000 [2 per cell]  2 Li 2.81, 5 La 2.90-3.14, 4 Mo 2.97
La 0.0000 0.0000 0.3188 [2 per cell]  2 La 2.81, 5 Li 2.90-3.14, 5 Mo 2.96-3.11
Mo 0.0000 0.0000 0.6437 [2 per cell]  2 Mo 2.81, 5 La 2.96-3.11, 4 Li 2.97

***

[7]
Computed, not measured: LiLaMo2 at its PBEsol-relaxed geometry at the SCAN level of DFT.

* theoretical density: 7.824 g/cm³
* total magnetic moment: 0.01 Bohr magnetons per cell
* excess energy over the best structure of this formula in the dataset: 0.0 meV per atom
* crystal system: cubic
* energy of formation: 0.5495 eV per atom

a = 6.5941 Å, b = 6.5941 Å, c = 6.5941 Å
α = 90.00°, β = 90.00°, γ = 90.00°
Last column: nearest neighbours and their distance in Å.
Space group F-43m (No. 216)
Symmetry-distinct sites (fractional):
Li 0.0000 0.0000 0.0000 [4 per cell]  4 Mo 2.86, 4 La 2.86
La 0.2500 0.2500 0.7500 [4 per cell]  4 Mo 2.86, 4 Li 2.86
Mo 0.0000 0.0000 0.5000 [4 per cell]  4 La 2.86, 4 Mo 2.86
Mo 0.2500 0.2500 0.2500 [4 per cell]  4 Mo 2.86, 4 Li 2.86

***

[8]
Computed, not measured: LiLaMo at its PBEsol-relaxed geometry at the SCAN level of DFT.

* theoretical density: 6.397 g/cm³
* total magnetic moment: 9.87 Bohr magnetons per cell
* excess energy over the best structure of this formula in the dataset: 485.1 meV per atom
* crystal system: cubic
* energy of formation: 1.1083 eV per atom

a = 6.3086 Å, b = 6.3086 Å, c = 6.3086 Å
α = 90.00°, β = 90.00°, γ = 90.00°
Last column: nearest neighbours and their distance in Å.
Space group F-43m (No. 216)
Symmetry-distinct sites (fractional):
Li 0.0000 0.0000 0.0000 [4 per cell]  4 La 2.73, 4 Mo 2.73
La 0.2500 0.2500 0.2500 [4 per cell]  4 Li 2.73
Mo 0.2500 0.2500 0.7500 [4 per cell]  4 Li 2.73

***

[9]
Computed, not measured: LiLaMo2 at its PBEsol-relaxed geometry at the SCAN level of DFT.

* theoretical density: 7.870 g/cm³
* total magnetic moment: 0.00 Bohr magnetons per cell
* excess energy over the best structure of this formula in the dataset: 133.5 meV per atom
* crystal system: orthorhombic
* energy of formation: 0.6830 eV per atom

a = 3.3876 Å, b = 4.4383 Å, c = 9.4788 Å
α = 90.00°, β = 90.00°, γ = 90.00°
Last column: nearest neighbours and their distance in Å.
Space group Immm (No. 71)
Symmetry-distinct sites (fractional):
Li 0.0000 0.0000 0.0000 [2 per cell]  4 La 2.79, 4 Mo 2.92
La 0.0000 0.0000 0.5000 [2 per cell]  4 Li 2.79, 4 Mo 2.91
Mo 0.0000 0.5000 0.2491 [4 per cell]  4 Mo 2.79, 2 La 2.91, 2 Li 2.92

***

[10]
Computed, not measured: LiLaMo at its PBEsol-relaxed geometry at the SCAN level of DFT.

* theoretical density: 6.593 g/cm³
* total magnetic moment: 0.00 Bohr magnetons per cell
* excess energy over the best structure of this formula in the dataset: 112.7 meV per atom
* crystal system: trigonal
* energy of formation: 0.7359 eV per atom

a = 2.9401 Å, b = 2.9401 Å, c = 8.1352 Å
α = 90.00°, β = 90.00°, γ = 120.00°
Last column: nearest neighbours and their distance in Å.
Space group P3m1 (No. 156)
Symmetry-distinct sites (fractional):
Li 0.0000 0.0000 0.0000 [1 per cell]  3 Mo 2.86, 6 Li 2.94
La 0.3333 0.6667 0.3841 [1 per cell]  6 La 2.94, 3 Mo 3.19
Mo 0.6667 0.3333 0.7167 [1 per cell]  3 Li 2.86, 6 Mo 2.94, 3 La 3.19

***

[11]
Computed, not measured: LiLaMo at its PBEsol-relaxed geometry at the SCAN level of DFT.

* theoretical density: 6.384 g/cm³
* total magnetic moment: 0.00 Bohr magnetons per cell
* excess energy over the best structure of this formula in the dataset: 0.0 meV per atom
* crystal system: orthorhombic
* energy of formation: 0.6233 eV per atom

a = 3.3831 Å, b = 5.0806 Å, c = 14.6368 Å
α = 90.00°, β = 90.00°, γ = 90.00°
Last column: nearest neighbours and their distance in Å.
Space group Fmm2 (No. 42)
Symmetry-distinct sites (fractional):
Li 0.0000 0.0000 0.0000 [4 per cell]  2 Mo 2.73, 4 Li 3.05
La 0.0000 0.0000 0.7078 [4 per cell]  2 Mo 2.72
Mo 0.0000 0.0000 0.3535 [4 per cell]  2 La 2.72, 2 Li 2.73

***

[12]
Computed, not measured: LiLaMo2 at its PBEsol-relaxed geometry at the SCAN level of DFT.

* theoretical density: 7.823 g/cm³
* total magnetic moment: 0.00 Bohr magnetons per cell
* excess energy over the best structure of this formula in the dataset: 135.2 meV per atom
* crystal system: monoclinic
* energy of formation: 0.6847 eV per atom

a = 5.4834 Å, b = 10.0401 Å, c = 2.7564 Å
α = 90.00°, β = 109.13°, γ = 90.00°
Last column: nearest neighbours and their distance in Å.
Space group C2/m (No. 12)
Symmetry-distinct sites (fractional):
Li 0.0000 0.0000 0.0000 [2 per cell]  2 La 2.74, 2 Li 2.76, 4 Mo 2.97
La 0.0000 0.5000 0.0000 [2 per cell]  2 Li 2.74, 2 La 2.76, 4 Mo 2.97
Mo 0.2500 0.2500 0.5000 [4 per cell]  4 Mo 2.74-2.76, 2 Li 2.97, 2 La 2.97